Record 1
LaTiP2Cl PBE optimized geometry; polymorph energy (0 for the lowest one) = 1085 meV per atom; E = -25.2 eV per formula unit; Fermi-level density of states = 0.667 states/eV per atom; formation energy (no corrections) = 0.048 eV per atom
1.0
5.1326 0.0000 0.0000
0.0000 5.1326 0.0000
0.0000 0.0000 4.2833
La Ti P Cl
1 1 2 1
Direct
0.0000 0.0000 0.0000 La
0.5000 0.5000 0.0000 Ti
0.0000 0.5000 0.5000 P
0.5000 0.0000 0.5000 P
0.5000 0.5000 0.5000 Cl

---

Record 2
La2TiPCl PBE optimized geometry; E = -27.9 eV per formula unit; Fermi-level density of states = 1.248 states/eV per atom; formation energy (no corrections) = -0.576 eV per atom
1.0
5.7277 0.0000 0.0000
0.0000 5.7277 0.0000
0.0000 0.0000 4.6079
La Ti P Cl
2 1 1 1
Direct
0.0000 0.5000 0.0000 La
0.5000 0.0000 0.0000 La
0.0000 0.0000 0.5000 Ti
0.0000 0.0000 0.0000 P
0.5000 0.5000 0.5000 Cl

---

Record 3
LaTlP2Cl PBE optimized geometry; polymorph energy (0 for the lowest one) = 0 meV per atom; E = -21.0 eV per formula unit; Fermi-level density of states = 1.094 states/eV per atom; formation energy (no corrections) = -0.203 eV per atom
1.0
5.6290 0.0000 0.0000
0.0000 5.6290 0.0000
0.0000 0.0000 5.5911
La Tl P Cl
1 1 2 1
Direct
0.0000 0.0000 0.0000 La
0.5000 0.5000 0.5000 Tl
0.0000 0.5000 0.0000 P
0.5000 0.0000 0.0000 P
0.0000 0.0000 0.5000 Cl

---

Record 4
LaTlP2Cl PBE optimized geometry; polymorph energy (0 for the lowest one) = 88 meV per atom; E = -20.5 eV per formula unit; Fermi-level density of states = 0.745 states/eV per atom; formation energy (no corrections) = -0.114 eV per atom
1.0
5.0714 0.0000 0.0000
0.0000 5.0714 0.0000
0.0000 0.0000 5.2820
La Tl P Cl
1 1 2 1
Direct
0.0000 0.0000 0.0000 La
0.5000 0.5000 0.5000 Tl
0.0000 0.5000 0.5000 P
0.5000 0.0000 0.5000 P
0.5000 0.5000 0.0000 Cl

---

Record 5
LaPWCl2 PBE optimized geometry; polymorph energy (0 for the lowest one) = 0 meV per atom; E = -28.9 eV per formula unit; Fermi-level density of states = 1.011 states/eV per atom; formation energy (no corrections) = -0.380 eV per atom
1.0
4.8104 0.0000 0.0000
0.0000 4.8104 0.0000
0.0000 0.0000 4.7717
La P W Cl
1 1 1 2
Direct
0.0000 0.0000 0.0000 La
0.5000 0.5000 0.0000 P
0.5000 0.5000 0.5000 W
0.0000 0.5000 0.5000 Cl
0.5000 0.0000 0.5000 Cl

---

Record 6
LaPWCl2 PBE optimized geometry; polymorph energy (0 for the lowest one) = 755 meV per atom; E = -25.1 eV per formula unit; Fermi-level density of states = 0.862 states/eV per atom; formation energy (no corrections) = 0.375 eV per atom
1.0
5.3302 0.0000 0.0000
0.0000 5.3302 0.0000
0.0000 0.0000 5.9891
La P W Cl
1 1 1 2
Direct
0.0000 0.0000 0.0000 La
0.0000 0.0000 0.5000 P
0.5000 0.5000 0.5000 W
0.0000 0.5000 0.0000 Cl
0.5000 0.0000 0.0000 Cl